10
Lattice="3.8457 0.0000 0.0000 0.0000 6.3899 -1.1517 0.0000 -0.1203 8.3061" Properties=species:S:1:pos:R:3 comment="Zr3PAu | Alexandria | PBE | optimized geometry" e_tot_ev_per_atom=-7.627 formation_enthalpy_0k_mev_per_atom=-761 relative_energy_ev_per_atom=0.000 dos_at_fermi_per_ev_atom=1.00 crystal_system=monoclinic pbc="T T T"
Au 0.9614 5.3417 6.3821
Zr 0.9614 2.8565 2.1591
Zr 2.8842 3.4132 4.9953
P 0.9614 1.6660 4.5567
Zr 2.8842 0.1641 5.5107
Zr 0.9614 6.1055 1.6437
P 2.8842 4.6037 2.5977
Zr 0.9614 1.9761 7.2504
Au 2.8842 0.9280 0.7723
Zr 2.8842 4.2936 -0.0960